# Hf4ReRh3 | Alexandria | PBE-GGA | optimized geometry
data_Hf4ReRh3
_chemical_formula_sum 'Hf4 Re1 Rh3'
_space_group_name_H-M_alt 'P 4/m m m'
_space_group_IT_number 123
_space_group_name_Hall '-P 4 2'
_cell_length_a 3.306
_cell_length_b 3.306
_cell_length_c 12.808
_cell_angle_alpha 90.00
_cell_angle_beta 90.00
_cell_angle_gamma 90.00
loop_
_atom_site_label
_atom_site_type_symbol
_atom_site_fract_x
_atom_site_fract_y
_atom_site_fract_z
_atom_site_occupancy
Hf1 Hf 0.000 0.000 0.123 1
Hf2 Hf 0.000 0.000 0.375 1
Re1 Re 0.500 0.500 0.000 1
Rh1 Rh 0.500 0.500 0.255 1
Rh2 Rh 0.500 0.500 0.500 1
# Calculated density: 14.3 g/cm³
# Energy relative to the elements: -76.8 kJ per mole of atoms

---

# Hf4ReRh | Alexandria | PBE-GGA | optimized geometry
data_Hf4ReRh
_chemical_formula_sum 'Hf16 Re4 Rh4'
_space_group_name_H-M_alt 'I 41/a m d'
_space_group_IT_number 141
_cell_length_a 6.404
_cell_length_b 6.404
_cell_length_c 12.840
_cell_angle_alpha 90.00
_cell_angle_beta 90.00
_cell_angle_gamma 90.00
loop_
_space_group_symop_operation_xyz
'x,y,z'
'-x,-y,-z'
'-y+1/4,x+3/4,z+1/4'
'y+1/4,-x+3/4,-z+1/4'
'-x+1/2,-y,z+1/2'
'x+1/2,y,-z+1/2'
'y+1/4,-x+1/4,z+3/4'
'-y+1/4,x+1/4,-z+3/4'
'x,-y,-z'
'-x,y,z'
'-y+1/4,-x+1/4,-z+3/4'
'y+1/4,x+1/4,z+3/4'
'-x+1/2,y,-z+1/2'
'x+1/2,-y,z+1/2'
'y+1/4,x+3/4,-z+1/4'
'-y+1/4,-x+3/4,z+1/4'
'x+1/2,y+1/2,z+1/2'
'-x+1/2,-y+1/2,-z+1/2'
'-y+3/4,x+1/4,z+3/4'
'y+3/4,-x+1/4,-z+3/4'
'-x,-y+1/2,z'
'x,y+1/2,-z'
'y+3/4,-x+3/4,z+1/4'
'-y+3/4,x+3/4,-z+1/4'
'x+1/2,-y+1/2,-z+1/2'
'-x+1/2,y+1/2,z+1/2'
'-y+3/4,-x+3/4,-z+1/4'
'y+3/4,x+3/4,z+1/4'
'-x,y+1/2,-z'
'x,-y+1/2,z'
'y+3/4,x+1/4,-z+3/4'
'-y+3/4,-x+1/4,z+3/4'
loop_
_atom_site_label
_atom_site_type_symbol
_atom_site_fract_x
_atom_site_fract_y
_atom_site_fract_z
_atom_site_occupancy
Hf1 Hf 0.248 0.000 0.000 1
Re1 Re 0.000 0.250 0.875 1
Rh1 Rh 0.000 0.250 0.375 1
# Calculated density: 12.7 g/cm³
# Energy relative to the elements: -21.4 kJ per mole of atoms

---

# Hf2ReRh | Alexandria | PBE-GGA | optimized geometry
data_Hf2ReRh
_chemical_formula_sum 'Hf8 Re4 Rh4'
_space_group_name_H-M_alt 'F m -3 m'
_space_group_IT_number 225
_space_group_name_Hall '-F 4 2 3'
_cell_length_a 6.536
_cell_length_b 6.536
_cell_length_c 6.536
_cell_angle_alpha 90.00
_cell_angle_beta 90.00
_cell_angle_gamma 90.00
loop_
_atom_site_label
_atom_site_type_symbol
_atom_site_fract_x
_atom_site_fract_y
_atom_site_fract_z
_atom_site_occupancy
Hf1 Hf 0.250 0.250 0.250 1
Re1 Re 0.000 0.000 0.000 1
Rh1 Rh 0.000 0.000 0.500 1
# Calculated density: 15.4 g/cm³
# Energy relative to the elements: -66.8 kJ per mole of atoms

---

# HfReRh2 | Alexandria | PBE-GGA | optimized geometry
data_HfReRh2
_chemical_formula_sum 'Hf4 Re4 Rh8'
_space_group_name_H-M_alt 'I -4 2 d'
_space_group_IT_number 122
_space_group_name_Hall 'I -4 2bw'
_cell_length_a 3.968
_cell_length_b 3.968
_cell_length_c 17.748
_cell_angle_alpha 90.00
_cell_angle_beta 90.00
_cell_angle_gamma 90.00
loop_
_atom_site_label
_atom_site_type_symbol
_atom_site_fract_x
_atom_site_fract_y
_atom_site_fract_z
_atom_site_occupancy
Hf1 Hf 0.000 0.000 0.000 1
Re1 Re 0.000 0.000 0.500 1
Rh1 Rh 0.233 0.250 0.625 1
# Calculated density: 13.6 g/cm³
# Energy relative to the elements: 17.1 kJ per mole of atoms

---

# Hf3ReRh2 | Alexandria | PBE-GGA | optimized geometry
data_Hf3ReRh2
_chemical_formula_sum 'Hf3 Re1 Rh2'
_space_group_name_H-M_alt 'P 4/m m m'
_space_group_IT_number 123
_space_group_name_Hall '-P 4 2'
_cell_length_a 3.300
_cell_length_b 3.300
_cell_length_c 9.651
_cell_angle_alpha 90.00
_cell_angle_beta 90.00
_cell_angle_gamma 90.00
loop_
_atom_site_label
_atom_site_type_symbol
_atom_site_fract_x
_atom_site_fract_y
_atom_site_fract_z
_atom_site_occupancy
Hf1 Hf 0.000 0.000 0.000 1
Hf2 Hf 0.000 0.000 0.337 1
Re1 Re 0.500 0.500 0.500 1
Rh1 Rh 0.500 0.500 0.161 1
# Calculated density: 14.7 g/cm³
# Energy relative to the elements: -75.0 kJ per mole of atoms

---

# HfRe2Rh2 | Alexandria | PBE-GGA | optimized geometry
data_HfRe2Rh2
_chemical_formula_sum 'Hf2 Re4 Rh4'
_space_group_name_H-M_alt 'P 4/m b m'
_space_group_IT_number 127
_space_group_name_Hall '-P 4 2ab'
_cell_length_a 7.654
_cell_length_b 7.654
_cell_length_c 2.745
_cell_angle_alpha 90.00
_cell_angle_beta 90.00
_cell_angle_gamma 90.00
loop_
_atom_site_label
_atom_site_type_symbol
_atom_site_fract_x
_atom_site_fract_y
_atom_site_fract_z
_atom_site_occupancy
Hf1 Hf 0.000 0.000 0.000 1
Re1 Re 0.175 0.325 0.500 1
Rh1 Rh 0.122 0.622 0.000 1
# Calculated density: 15.6 g/cm³
# Energy relative to the elements: -6.6 kJ per mole of atoms

---

# Hf3ReRh2 | Alexandria | PBE-GGA | optimized geometry
data_Hf3ReRh2
_chemical_formula_sum 'Hf3 Re1 Rh2'
_space_group_name_H-M_alt 'P -3 m 1'
_space_group_IT_number 164
_space_group_name_Hall '-P 3 2"'
_cell_length_a 4.6283
_cell_length_b 4.6283
_cell_length_c 5.6553
_cell_angle_alpha 90.00
_cell_angle_beta 90.00
_cell_angle_gamma 120.00
loop_
_atom_site_label
_atom_site_type_symbol
_atom_site_fract_x
_atom_site_fract_y
_atom_site_fract_z
_atom_site_occupancy
Hf1 Hf 0.0000 0.0000 0.0000 1
Hf2 Hf 0.3333 0.6667 0.6614 1
Re1 Re 0.0000 0.0000 0.5000 1
Rh1 Rh 0.3333 0.6667 0.1626 1
# Calculated density: 14.7 g/cm³
# Energy relative to the elements: -72.1 kJ per mole of atoms

---

# HfRe2Rh2 | Alexandria | PBE-GGA | optimized geometry
data_HfRe2Rh2
_chemical_formula_sum 'Hf2 Re4 Rh4'
_space_group_name_H-M_alt 'P 4/m b m'
_space_group_IT_number 127
_space_group_name_Hall '-P 4 2ab'
_cell_length_a 7.648
_cell_length_b 7.648
_cell_length_c 2.761
_cell_angle_alpha 90.00
_cell_angle_beta 90.00
_cell_angle_gamma 90.00
loop_
_atom_site_label
_atom_site_type_symbol
_atom_site_fract_x
_atom_site_fract_y
_atom_site_fract_z
_atom_site_occupancy
Hf1 Hf 0.000 0.000 0.000 1
Re1 Re 0.120 0.380 0.000 1
Rh1 Rh 0.175 0.675 0.500 1
# Calculated density: 15.6 g/cm³
# Energy relative to the elements: -7.6 kJ per mole of atoms

---

# HfReRhS2 | Alexandria | PBE-GGA | optimized geometry
data_HfReRhS2
_chemical_formula_sum 'Hf1 Re1 Rh1 S2'
_space_group_name_H-M_alt 'P 4/m m m'
_space_group_IT_number 123
_space_group_name_Hall '-P 4 2'
_cell_length_a 4.498
_cell_length_b 4.498
_cell_length_c 4.858
_cell_angle_alpha 90.00
_cell_angle_beta 90.00
_cell_angle_gamma 90.00
loop_
_atom_site_label
_atom_site_type_symbol
_atom_site_fract_x
_atom_site_fract_y
_atom_site_fract_z
_atom_site_occupancy
Hf1 Hf 0.000 0.000 0.000 1
Re1 Re 0.500 0.500 0.500 1
Rh1 Rh 0.500 0.500 0.000 1
S1 S 0.000 0.500 0.500 1
# Calculated density: 9.0 g/cm³
# Formation energy (no corrections): 0.5007 eV/atom

---

# HfScReRh | Alexandria | PBE-GGA | optimized geometry
data_HfScReRh
_chemical_formula_sum 'Hf4 Sc4 Re4 Rh4'
_space_group_name_H-M_alt 'F -4 3 m'
_space_group_IT_number 216
_space_group_name_Hall 'F -4 2 3'
_cell_length_a 6.499
_cell_length_b 6.499
_cell_length_c 6.499
_cell_angle_alpha 90.00
_cell_angle_beta 90.00
_cell_angle_gamma 90.00
loop_
_atom_site_label
_atom_site_type_symbol
_atom_site_fract_x
_atom_site_fract_y
_atom_site_fract_z
_atom_site_occupancy
Hf1 Hf 0.000 0.000 0.000 1
Sc1 Sc 0.000 0.000 0.500 1
Re1 Re 0.250 0.250 0.750 1
Rh1 Rh 0.250 0.250 0.250 1
# Calculated density: 12.4 g/cm³
# Energy relative to the elements: -54.5 kJ per mole of atoms

---

# Sr2HfReRh | Alexandria | PBE-GGA | optimized geometry
data_Sr2HfReRh
_chemical_formula_sum 'Sr2 Hf1 Re1 Rh1'
_space_group_name_H-M_alt 'P 4/m m m'
_space_group_IT_number 123
_space_group_name_Hall '-P 4 2'
_cell_length_a 5.619
_cell_length_b 5.619
_cell_length_c 4.957
_cell_angle_alpha 90.00
_cell_angle_beta 90.00
_cell_angle_gamma 90.00
loop_
_atom_site_label
_atom_site_type_symbol
_atom_site_fract_x
_atom_site_fract_y
_atom_site_fract_z
_atom_site_occupancy
Sr1 Sr 0.000 0.500 0.000 1
Hf1 Hf 0.000 0.000 0.500 1
Re1 Re 0.000 0.000 0.000 1
Rh1 Rh 0.500 0.500 0.500 1
# Calculated density: 6.8 g/cm³
# Energy relative to the elements: 106.9 kJ per mole of atoms

---

# HfTaReRh | Alexandria | PBE-GGA | optimized geometry
data_HfTaReRh
_chemical_formula_sum 'Hf4 Ta4 Re4 Rh4'
_space_group_name_H-M_alt 'F -4 3 m'
_space_group_IT_number 216
_space_group_name_Hall 'F -4 2 3'
_cell_length_a 6.465
_cell_length_b 6.465
_cell_length_c 6.465
_cell_angle_alpha 90.00
_cell_angle_beta 90.00
_cell_angle_gamma 90.00
loop_
_atom_site_label
_atom_site_type_symbol
_atom_site_fract_x
_atom_site_fract_y
_atom_site_fract_z
_atom_site_occupancy
Hf1 Hf 0.000 0.000 0.000 1
Ta1 Ta 0.000 0.000 0.500 1
Re1 Re 0.250 0.250 0.250 1
Rh1 Rh 0.250 0.250 0.750 1
# Calculated density: 15.9 g/cm³
# Energy relative to the elements: -49.8 kJ per mole of atoms

---

# HfRe2TeRh | Alexandria | PBE-GGA | optimized geometry
data_HfRe2TeRh
_chemical_formula_sum 'Hf1 Re2 Te1 Rh1'
_space_group_name_H-M_alt 'P 4/m m m'
_space_group_IT_number 123
_space_group_name_Hall '-P 4 2'
_cell_length_a 4.820
_cell_length_b 4.820
_cell_length_c 4.658
_cell_angle_alpha 90.00
_cell_angle_beta 90.00
_cell_angle_gamma 90.00
loop_
_atom_site_label
_atom_site_type_symbol
_atom_site_fract_x
_atom_site_fract_y
_atom_site_fract_z
_atom_site_occupancy
Hf1 Hf 0.000 0.000 0.000 1
Re1 Re 0.000 0.500 0.500 1
Te1 Te 0.500 0.500 0.500 1
Rh1 Rh 0.500 0.500 0.000 1
# Calculated density: 12.0 g/cm³
# Formation energy (no corrections): 1.5404 eV/atom

---

# HfRe2TeRh | Alexandria | PBE-GGA | optimized geometry
data_HfRe2TeRh
_chemical_formula_sum 'Hf1 Re2 Te1 Rh1'
_space_group_name_H-M_alt 'P 4/m m m'
_space_group_IT_number 123
_space_group_name_Hall '-P 4 2'
_cell_length_a 4.903
_cell_length_b 4.903
_cell_length_c 4.775
_cell_angle_alpha 90.00
_cell_angle_beta 90.00
_cell_angle_gamma 90.00
loop_
_atom_site_label
_atom_site_type_symbol
_atom_site_fract_x
_atom_site_fract_y
_atom_site_fract_z
_atom_site_occupancy
Hf1 Hf 0.000 0.000 0.000 1
Re1 Re 0.000 0.500 0.000 1
Te1 Te 0.500 0.500 0.500 1
Rh1 Rh 0.000 0.000 0.500 1
# Calculated density: 11.3 g/cm³
# Formation energy (no corrections): 1.9515 eV/atom

---

# HfTiReRh | Alexandria | PBE-GGA | optimized geometry
data_HfTiReRh
_chemical_formula_sum 'Hf4 Ti4 Re4 Rh4'
_space_group_name_H-M_alt 'F -4 3 m'
_space_group_IT_number 216
_space_group_name_Hall 'F -4 2 3'
_cell_length_a 6.386
_cell_length_b 6.386
_cell_length_c 6.386
_cell_angle_alpha 90.00
_cell_angle_beta 90.00
_cell_angle_gamma 90.00
loop_
_atom_site_label
_atom_site_type_symbol
_atom_site_fract_x
_atom_site_fract_y
_atom_site_fract_z
_atom_site_occupancy
Hf1 Hf 0.000 0.000 0.000 1
Ti1 Ti 0.000 0.000 0.500 1
Re1 Re 0.250 0.250 0.250 1
Rh1 Rh 0.250 0.250 0.750 1
# Calculated density: 13.1 g/cm³
# Energy relative to the elements: -62.2 kJ per mole of atoms

---

# HfTiReRh | Alexandria | PBE-GGA | optimized geometry
data_HfTiReRh
_chemical_formula_sum 'Hf1 Ti1 Re1 Rh1'
_space_group_name_H-M_alt 'P 4 m m'
_space_group_IT_number 99
_space_group_name_Hall 'P 4 -2'
_cell_length_a 3.203
_cell_length_b 3.203
_cell_length_c 6.349
_cell_angle_alpha 90.00
_cell_angle_beta 90.00
_cell_angle_gamma 90.00
loop_
_atom_site_label
_atom_site_type_symbol
_atom_site_fract_x
_atom_site_fract_y
_atom_site_fract_z
_atom_site_occupancy
Hf1 Hf 0.000 0.000 0.000 1
Ti1 Ti 0.000 0.000 0.490 1
Re1 Re 0.500 0.500 0.262 1
Rh1 Rh 0.500 0.500 0.741 1
# Calculated density: 13.1 g/cm³
# Energy relative to the elements: -65.8 kJ per mole of atoms

---

# HfTlReRh2 | Alexandria | PBE-GGA | optimized geometry
data_HfTlReRh2
_chemical_formula_sum 'Hf1 Tl1 Re1 Rh2'
_space_group_name_H-M_alt 'P 4/m m m'
_space_group_IT_number 123
_space_group_name_Hall '-P 4 2'
_cell_length_a 4.801
_cell_length_b 4.801
_cell_length_c 5.175
_cell_angle_alpha 90.00
_cell_angle_beta 90.00
_cell_angle_gamma 90.00
loop_
_atom_site_label
_atom_site_type_symbol
_atom_site_fract_x
_atom_site_fract_y
_atom_site_fract_z
_atom_site_occupancy
Hf1 Hf 0.000 0.000 0.000 1
Tl1 Tl 0.000 0.000 0.500 1
Re1 Re 0.500 0.500 0.000 1
Rh1 Rh 0.000 0.500 0.500 1
# Calculated density: 10.8 g/cm³
# Energy relative to the elements: 205.1 kJ per mole of atoms

---

# HfTlReRh2 | Alexandria | PBE-GGA | optimized geometry
data_HfTlReRh2
_chemical_formula_sum 'Hf1 Tl1 Re1 Rh2'
_space_group_name_H-M_alt 'P 4/m m m'
_space_group_IT_number 123
_space_group_name_Hall '-P 4 2'
_cell_length_a 4.793
_cell_length_b 4.793
_cell_length_c 4.949
_cell_angle_alpha 90.00
_cell_angle_beta 90.00
_cell_angle_gamma 90.00
loop_
_atom_site_label
_atom_site_type_symbol
_atom_site_fract_x
_atom_site_fract_y
_atom_site_fract_z
_atom_site_occupancy
Hf1 Hf 0.000 0.000 0.000 1
Tl1 Tl 0.500 0.500 0.500 1
Re1 Re 0.500 0.500 0.000 1
Rh1 Rh 0.000 0.500 0.500 1
# Calculated density: 11.3 g/cm³
# Energy relative to the elements: 171.1 kJ per mole of atoms

---

# YHfRe2Rh | Alexandria | PBE-GGA | optimized geometry
data_YHfRe2Rh
_chemical_formula_sum 'Y1 Hf1 Re2 Rh1'
_space_group_name_H-M_alt 'P 4/m m m'
_space_group_IT_number 123
_space_group_name_Hall '-P 4 2'
_cell_length_a 4.810
_cell_length_b 4.810
_cell_length_c 4.713
_cell_angle_alpha 90.00
_cell_angle_beta 90.00
_cell_angle_gamma 90.00
loop_
_atom_site_label
_atom_site_type_symbol
_atom_site_fract_x
_atom_site_fract_y
_atom_site_fract_z
_atom_site_occupancy
Y1 Y 0.000 0.000 0.000 1
Hf1 Hf 0.500 0.500 0.500 1
Re1 Re 0.000 0.500 0.000 1
Rh1 Rh 0.000 0.000 0.500 1
# Calculated density: 11.3 g/cm³
# Energy relative to the elements: 195.5 kJ per mole of atoms

---

# Hf3ReRu | Alexandria | PBE-GGA | optimized geometry
data_Hf3ReRu
_chemical_formula_sum 'Hf3 Re1 Ru1'
_space_group_name_H-M_alt 'P m -3 m'
_space_group_IT_number 221
_space_group_name_Hall '-P 4 2 3'
_cell_length_a 4.938
_cell_length_b 4.938
_cell_length_c 4.938
_cell_angle_alpha 90.00
_cell_angle_beta 90.00
_cell_angle_gamma 90.00
loop_
_atom_site_label
_atom_site_type_symbol
_atom_site_fract_x
_atom_site_fract_y
_atom_site_fract_z
_atom_site_occupancy
Hf1 Hf 0.000 0.000 0.500 1
Re1 Re 0.000 0.000 0.000 1
Ru1 Ru 0.500 0.500 0.500 1
# Calculated density: 11.3 g/cm³
# Energy relative to the elements: 92.4 kJ per mole of atoms

---

Raw total energy, respectively: -10.0854; -10.1575; -10.6186; -9.0994; -10.2792; -9.9787; -10.2492; -9.9888; -7.1009; -9.5858; -5.5153; -10.9180; -7.5281; -7.1171; -10.0569; -10.0941; -5.7687; -6.1212; -7.7073; -9.3588 eV/atom.